Density functional theory data (PBE) for ScCr3Co after structural relaxation.

Cell: 4.316 4.316 4.316 Å, 90.00 90.00 90.00°
Fractional positions:
Sc 0.000 0.000 0.000
Cr 0.000 0.500 0.500
Cr 0.500 0.000 0.500
Cr 0.500 0.500 0.000
Co 0.500 0.500 0.500

Values from the calculation:
Energy above the lowest structure with this stoichiometry: 0 meV per atom
Energy of formation from the pure elements: 866 meV per atom
Size of the total moment: 4.23 Bohr magnetons per cell
D(E_F): 0.932 states/eV/atom
Crystal system: cubic
SG: Pm-3m, No. 221

***

Density functional theory data (PBE) for AcTbNdIn after structural relaxation.

Cell: 5.670 5.670 5.670 Å, 60.00 60.00 60.00°
Fractional positions:
Ac 0.000 0.000 0.000
Tb 0.750 0.750 0.750
Nd 0.250 0.250 0.250
In 0.500 0.500 0.500

Values from the calculation:
Energy of formation from the pure elements: -68 meV per atom
Size of the total moment: 0.01 Bohr magnetons per cell
D(E_F): 1.827 states/eV/atom
Crystal system: cubic
SG: F-43m, No. 216

***

Density functional theory data (PBE) for Tl4Br5 after structural relaxation.

Cell: 9.070 9.070 9.070 Å, 92.83 92.83 154.32°
Fractional positions:
Tl 0.157 0.157 0.313
Tl 0.157 0.843 0.000
Tl 0.843 0.157 0.000
Tl 0.843 0.843 0.687
Br 0.208 0.500 0.708
Br 0.500 0.208 0.708
Br 0.500 0.500 0.000
Br 0.500 0.792 0.292
Br 0.792 0.500 0.292

Values from the calculation:
Energy above the lowest structure with this stoichiometry: 66 meV per atom
Size of the total moment: 0.00 Bohr magnetons per cell
D(E_F): 1.325 states/eV/atom
Crystal system: tetragonal
Formation energy (no corrections): -567 meV per atom
SG: I4/mmm, No. 139

***

Density functional theory data (PBE) for Tb2CePaSe4 after structural relaxation.

Cell: 7.053 4.059 7.270 Å, 90.00 108.76 90.00°
Fractional positions:
Tb 0.000 0.000 0.000
Tb 0.500 0.500 0.000
Ce 0.000 0.500 0.500
Pa 0.500 0.000 0.500
Se 0.251 0.500 0.244
Se 0.256 0.000 0.758
Se 0.744 0.000 0.242
Se 0.749 0.500 0.756

Values from the calculation:
Size of the total moment: 1.89 Bohr magnetons per cell
D(E_F): 1.438 states/eV/atom
Crystal system: monoclinic
Formation energy (no corrections): -1630 meV per atom
SG: P2/m, No. 10

***

Density functional theory data (PBE) for GdErBeRu after structural relaxation.

Cell: 4.828 4.828 4.828 Å, 60.00 60.00 60.00°
Fractional positions:
Gd 0.000 0.000 0.000
Er 0.500 0.500 0.500
Be 0.250 0.250 0.250
Ru 0.750 0.750 0.750

Values from the calculation:
Energy of formation from the pure elements: -135 meV per atom
Size of the total moment: 6.97 Bohr magnetons per cell
D(E_F): 0.893 states/eV/atom
Crystal system: cubic
SG: F-43m, No. 216

***

Density functional theory data (PBE) for La12YHo7 after structural relaxation.

Cell: 8.864 8.864 8.864 Å, 89.54 89.54 89.54°
Fractional positions:
La 0.019 0.892 0.356
La 0.108 0.644 0.981
La 0.217 0.354 0.766
La 0.234 0.783 0.646
La 0.354 0.766 0.217
La 0.356 0.019 0.892
La 0.644 0.981 0.108
La 0.646 0.234 0.783
La 0.766 0.217 0.354
La 0.783 0.646 0.234
La 0.892 0.356 0.019
La 0.981 0.108 0.644
Y 0.500 0.500 0.500
Ho 0.000 0.000 0.000
Ho 0.124 0.440 0.359
Ho 0.359 0.124 0.440
Ho 0.440 0.359 0.124
Ho 0.560 0.641 0.876
Ho 0.641 0.876 0.560
Ho 0.876 0.560 0.641

Values from the calculation:
Energy of formation from the pure elements: 195 meV per atom
Size of the total moment: 0.00 Bohr magnetons per cell
D(E_F): 1.784 states/eV/atom
Crystal system: trigonal
SG: R-3, No. 148

***

What did the second record say?
Density functional theory data (PBE) for AcTbNdIn after structural relaxation.

Cell: 5.670 5.670 5.670 Å, 60.00 60.00 60.00°
Fractional positions:
Ac 0.000 0.000 0.000
Tb 0.750 0.750 0.750
Nd 0.250 0.250 0.250
In 0.500 0.500 0.500

Values from the calculation:
Energy of formation from the pure elements: -68 meV per atom
Size of the total moment: 0.01 Bohr magnetons per cell
D(E_F): 1.827 states/eV/atom
Crystal system: cubic
SG: F-43m, No. 216

***

D(E_F) of number 5 (GdErBeRu)? 0.893 states/eV/atom